First-principles (GGA-PBE) data for a relaxed YMn2Re crystal, as listed in Alexandria.

* ΔE_f: 22 kJ/mol of atoms
* total DFT energy (no corrections): -9.084 eV/atom
* energy above the lowest structure with this stoichiometry: 74.6 meV/atom

Cell: 3.027 3.027 7.000 Å, 90.00 90.00 90.00°
Last column: magnetic moment on the atom in μB.
Fractional positions:
Mn 0.000 0.000 0.445  1.18
Re 0.500 0.500 0.250  -0.33
Mn 0.000 0.000 0.055  1.18
Y 0.500 0.500 0.750  -0.15